Density functional theory data (GGA-PBE) for a relaxed KFeSe2 crystal.

Structure (extended XYZ):
```
4
Lattice="-2.079 2.079 5.287 2.079 -2.079 5.287 2.079 2.079 -5.287" Properties=species:S:1:pos:R:3 pbc="T T T"
K 0.000 0.000 0.000
Fe 0.000 2.079 2.643
Se 2.079 0.000 2.643
Se 0.000 0.000 5.287
```

Results
Energy relative to the elements, uncorrected (eV per atom): 0.26
E (eV per atom): -3.88
N(E_F) (states/eV per atom): 1.447
Volume (Å³ per atom): 22.84


Density functional theory data (GGA-PBE) for a relaxed CaRe2Pd crystal.

Structure (extended XYZ):
```
8
Lattice="-3.952 3.952 2.483 3.952 -3.952 2.483 3.952 3.952 -2.483" Properties=species:S:1:pos:R:3 pbc="T T T"
Ca 0.000 0.000 0.000
Ca 0.000 3.952 1.241
Re 1.976 -1.634 1.862
Re 2.318 1.976 0.621
Re 1.976 5.586 -0.621
Re 1.634 1.976 3.104
Pd 3.952 0.000 1.241
Pd 0.000 0.000 2.483
```

Results
Energy of formation (kJ per mole of atoms): 93
ΔE to the lowest computed polymorph (meV/atom): 0
E (eV per atom): -7.06
N(E_F) (states/eV per atom): 0.925
Volume (Å³ per atom): 19.39


Density functional theory data (GGA-PBE) for a relaxed TaReMoPt2 crystal.

Structure (extended XYZ):
```
5
Lattice="4.840 0.000 0.000 0.000 4.840 0.000 0.000 0.000 4.710" Properties=species:S:1:pos:R:3 pbc="T T T"
Ta 0.000 0.000 0.000
Re 0.000 0.000 2.355
Mo 2.420 2.420 2.355
Pt 0.000 2.420 0.000
Pt 2.420 0.000 0.000
```

Results
Energy of formation (kJ per mole of atoms): 164
E (eV per atom): -7.74
N(E_F) (states/eV per atom): 1.178
Volume (Å³ per atom): 22.07


Density functional theory data (GGA-PBE) for a relaxed HgS2NCl crystal.

Structure (extended XYZ):
```
5
Lattice="4.328 0.000 0.000 0.000 4.328 0.000 0.000 0.000 4.423" Properties=species:S:1:pos:R:3 pbc="T T T"
Hg 0.000 0.000 0.000
S 0.000 2.164 2.212
S 2.164 0.000 2.212
N 2.164 2.164 2.212
Cl 2.164 2.164 0.000
```

Results
Energy relative to the elements, uncorrected (eV per atom): 1.10
ΔE to the lowest computed polymorph (meV/atom): 0
E (eV per atom): -2.65
N(E_F) (states/eV per atom): 0.672
Volume (Å³ per atom): 16.57


Density functional theory data (GGA-PBE) for a relaxed Ba8AgAs3I4 crystal.

Structure (extended XYZ):
```
16
Lattice="4.869 2.811 8.404 -4.869 2.811 8.404 0.000 -5.622 8.404" Properties=species:S:1:pos:R:3 pbc="T T T"
Ba -2.505 -1.446 14.372
Ba 0.000 0.000 5.929
Ba 0.000 -2.893 10.840
Ba -2.505 1.446 10.840
Ba 2.505 -1.446 14.372
Ba 0.000 2.893 14.372
Ba 0.000 0.000 19.283
Ba 2.505 1.446 10.840
Ag 0.000 0.000 12.606
As -4.869 0.000 12.606
As -2.434 1.406 4.202
As 2.434 1.406 4.202
I 0.000 0.000 0.000
I -2.434 -1.406 8.404
I -2.434 1.406 16.808
I 0.000 2.811 8.404
```

Results
Energy relative to the elements, uncorrected (eV per atom): -1.27
E (eV per atom): -3.67
N(E_F) (states/eV per atom): 0.481
Volume (Å³ per atom): 43.14


Density functional theory data (GGA-PBE) for a relaxed SrPPdRh2 crystal.

Structure (extended XYZ):
```
5
Lattice="4.495 0.000 0.000 0.000 4.495 0.000 0.000 0.000 4.712" Properties=species:S:1:pos:R:3 pbc="T T T"
Sr 0.000 0.000 0.000
P 2.248 2.248 2.356
Pd 2.248 2.248 0.000
Rh 0.000 2.248 2.356
Rh 2.248 0.000 2.356
```

Results
Energy of formation (kJ per mole of atoms): -54
E (eV per atom): -5.96
N(E_F) (states/eV per atom): 0.526
Volume (Å³ per atom): 19.04